(1)
Computed, not measured: a relaxed structure of VNi2AuC at the PBE-GGA level of DFT.

Unit cell a=3.871 b=3.871 c=4.011 alpha=90.00 beta=90.00 gamma=90.00
Atoms (fractional coordinates):
1 V 0.000 0.000 0.000
2 Ni 0.000 0.500 0.500
3 Ni 0.500 0.000 0.500
4 Au 0.500 0.500 0.000
5 C 0.000 0.000 0.500

Values from the calculation:
The calculation puts the density of states at the Fermi level at 6.18 states/eV/cell. The calculation puts the volume at 60 Å³/cell. Its space group is P4/mmm. The formation energy comes out at 0.04 eV per atom.

=====

(2)
Computed, not measured: a relaxed structure of Y2NiAuC at the PBE-GGA level of DFT.

Unit cell a=5.015 b=5.015 c=3.684 alpha=90.00 beta=90.00 gamma=90.00
Atoms (fractional coordinates):
1 Y 0.000 0.500 0.000
2 Y 0.500 0.000 0.000
3 Ni 0.000 0.000 0.500
4 Au 0.500 0.500 0.500
5 C 0.000 0.000 0.000

Values from the calculation:
The calculation puts the density of states at the Fermi level at 3.71 states/eV/cell. The calculation puts the volume at 93 Å³/cell. Its space group is P4/mmm. The formation energy comes out at -0.56 eV per atom.

=====

(3)
Computed, not measured: a relaxed structure of AuCO at the PBE-GGA level of DFT.

Unit cell a=2.782 b=4.980 c=8.076 alpha=79.01 beta=81.04 gamma=75.18
Atoms (fractional coordinates):
1 Au 0.001 0.346 0.149
2 Au 0.999 0.654 0.851
3 C 0.001 0.110 0.388
4 C 0.999 0.890 0.612
5 O 0.104 0.823 0.449
6 O 0.896 0.177 0.551

Values from the calculation:
The calculation puts the density of states at the Fermi level at 2.34 states/eV/cell. The calculation puts the volume at 105 Å³/cell. The value obtained for the uncorrected formation energy is 0.346 eV/atom. Its space group is P-1.

=====

(4)
Computed, not measured: a relaxed structure of AuCO3 at the PBE-GGA level of DFT.

Unit cell a=3.957 b=3.957 c=3.957 alpha=90.00 beta=90.00 gamma=90.00
Atoms (fractional coordinates):
1 Au 0.000 0.000 0.000
2 C 0.500 0.500 0.500
3 O 0.000 0.000 0.500
4 O 0.000 0.500 0.000
5 O 0.500 0.000 0.000

Values from the calculation:
The calculation puts the density of states at the Fermi level at 2.62 states/eV/cell. The calculation puts the volume at 62 Å³/cell. The value obtained for the uncorrected formation energy is 1.943 eV/atom. Its space group is Pm-3m.

=====

(5)
Computed, not measured: a relaxed structure of AuC2O at the PBE-GGA level of DFT.

Unit cell a=5.392 b=5.392 c=5.392 alpha=128.33 beta=128.33 gamma=76.08
Atoms (fractional coordinates):
1 Au 0.000 0.000 0.000
2 Au 0.750 0.250 0.500
3 C 0.178 0.625 0.053
4 C 0.375 0.428 0.553
5 C 0.572 0.125 0.947
6 C 0.875 0.822 0.447
7 O 0.250 0.750 0.500
8 O 0.500 0.500 0.000

Values from the calculation:
The calculation puts the density of states at the Fermi level at 2.36 states/eV/cell. The calculation puts the volume at 94 Å³/cell. The value obtained for the uncorrected formation energy is 2.008 eV/atom. Its space group is I-42d.

=====

(6)
Computed, not measured: a relaxed structure of AuCO2 at the PBE-GGA level of DFT.

Unit cell a=3.884 b=3.884 c=3.884 alpha=60.00 beta=60.00 gamma=60.00
Atoms (fractional coordinates):
1 Au 0.000 0.000 0.000
2 C 0.500 0.500 0.500
3 O 0.250 0.250 0.250
4 O 0.750 0.750 0.750

Values from the calculation:
The calculation puts the density of states at the Fermi level at 1.69 states/eV/cell. The calculation puts the volume at 41 Å³/cell. The value obtained for the uncorrected formation energy is 1.935 eV/atom. Its space group is Fm-3m.

=====

Which formula does entry 1 have?
VNi2AuC